This record from Alexandria describes a geometry-optimized YEr2S3 structure. The functional is PBE.

Properties
calculated volume: 20.68 Å³/atom
total DFT energy (no corrections): -6.628 eV/atom
ΔE_f (raw): -189.7 kJ per mole of atoms

Geometry as POSCAR:
```
YEr2S3
1.0
-1.947 2.740 5.816
1.947 -2.740 5.816
1.947 2.740 -5.816
Y Er S
1 2 3
direct
0.000 0.000 0.000
0.335 0.335 0.000
0.665 0.665 0.000
0.170 0.670 0.500
0.500 0.000 0.500
0.830 0.330 0.500
```